# GaGe2Cl (PBE, relaxed)
data_GaGe2Cl
_cell_length_a 6.816
_cell_length_b 6.816
_cell_length_c 6.816
_cell_angle_alpha 90.00
_cell_angle_beta 90.00
_cell_angle_gamma 90.00
_space_group_name_H-M_alt 'P 1'
_space_group_IT_number 1
loop_
_space_group_symop_operation_xyz
'x,y,z'
loop_
_atom_site_label
_atom_site_type_symbol
_atom_site_fract_x
_atom_site_fract_y
_atom_site_fract_z
Ga1 Ga 0.000 0.000 0.000
Ga2 Ga 0.000 0.500 0.500
Ga3 Ga 0.500 0.000 0.500
Ga4 Ga 0.500 0.500 0.000
Ge1 Ge 0.250 0.250 0.250
Ge2 Ge 0.250 0.250 0.750
Ge3 Ge 0.250 0.750 0.250
Ge4 Ge 0.250 0.750 0.750
Ge5 Ge 0.750 0.250 0.250
Ge6 Ge 0.750 0.250 0.750
Ge7 Ge 0.750 0.750 0.250
Ge8 Ge 0.750 0.750 0.750
Cl1 Cl 0.000 0.000 0.500
Cl2 Cl 0.000 0.500 0.000
Cl3 Cl 0.500 0.000 0.000
Cl4 Cl 0.500 0.500 0.500
# space-group type: Fm-3m
# E above lowest polymorph: 0 meV/atom
# raw formation energy: 0.210 eV/atom
# final energy: -3.317 eV/atom